Density functional theory data (PBE-GGA) for a relaxed Li2NdBr4 crystal.

```
Li2NdBr4
1.0
-3.584 3.731 5.551
-2.477 -4.474 6.594
4.121 0.979 7.190
Li Nd Br
4 2 8
Cartesian
1.807 0.534 5.995
-1.792 1.866 2.775
-0.970 0.118 9.668
-3.748 -0.298 13.340
-1.239 -2.237 3.297
-3.031 -0.372 6.072
-0.431 0.308 4.701
0.097 -1.683 11.567
1.572 0.540 8.534
-0.150 2.333 11.200
-1.791 -2.097 8.135
-2.038 1.918 7.768
-3.513 -0.305 10.802
-1.510 -0.073 14.634
```

Output
The volume comes out at 28.2 Å³ per atom. For the density, the calculation gives 4015 kg/m3. The total energy is -3.731 eV per atom. For the raw formation energy, the calculation gives -10.83 eV per formula unit. Its space group is Imma (74).